No. 1
An optimized crystal structure of MnCrTe2H, computed with PBE.

Unit cell a=4.6418 b=4.6418 c=3.2911 alpha=90.00 beta=90.00 gamma=90.00
With the nearest neighbours (Å) after each atom.
Space group P4/mmm (No. 123)
One atom of each set of equivalent atoms:
Mn (0.0000, 0.0000, 0.0000) (multiplicity 1)  2 H 1.65
Cr (0.5000, 0.5000, 0.0000) (multiplicity 1)  8 Te 2.85
Te (0.0000, 0.5000, 0.5000) (multiplicity 2)  2 H 2.32
H (0.0000, 0.0000, 0.5000) (multiplicity 1)  2 Mn 1.65

---

No. 2
An optimized crystal structure of MnVCr2H, computed with PBE.

Unit cell a=4.0081 b=4.0081 c=3.1844 alpha=90.00 beta=90.00 gamma=90.00
With the nearest neighbours (Å) after each atom.
Space group P4/mmm (No. 123)
One atom of each set of equivalent atoms:
Mn (0.0000, 0.0000, 0.0000) (multiplicity 1)  2 H 1.59
V (0.5000, 0.5000, 0.0000) (multiplicity 1)  8 Cr 2.56, 4 Mn 2.83
Cr (0.0000, 0.5000, 0.5000) (multiplicity 2)  2 H 2.00
H (0.0000, 0.0000, 0.5000) (multiplicity 1)  2 Mn 1.59

---

No. 3
An optimized crystal structure of Mn2VCrH, computed with PBE.

Unit cell a=3.5789 b=3.5789 c=3.9206 alpha=90.00 beta=90.00 gamma=90.00
With the nearest neighbours (Å) after each atom.
Space group P4/mmm (No. 123)
One atom of each set of equivalent atoms:
Mn (0.0000, 0.5000, 0.0000) (multiplicity 2)  2 H 1.79
V (0.0000, 0.0000, 0.5000) (multiplicity 1)  4 Cr 2.53, 8 Mn 2.65
Cr (0.5000, 0.5000, 0.5000) (multiplicity 1)  2 H 1.96
H (0.5000, 0.5000, 0.0000) (multiplicity 1)  4 Mn 1.79, 2 Cr 1.96

---

No. 4
An optimized crystal structure of Mn2CrHW, computed with PBE.

distance to the lowest polymorph of the same formula	0.00	kcal/mol of atoms

Unit cell a=3.7054 b=3.7054 c=3.7478 alpha=90.00 beta=90.00 gamma=90.00
With the nearest neighbours (Å) after each atom.
Space group P4/mmm (No. 123)
One atom of each set of equivalent atoms:
Mn (0.0000, 0.5000, 0.0000) (multiplicity 2)  2 H 1.85
Cr (0.0000, 0.0000, 0.5000) (multiplicity 1)  2 H 1.87
H (0.0000, 0.0000, 0.0000) (multiplicity 1)  4 Mn 1.85, 2 Cr 1.87
W (0.5000, 0.5000, 0.5000) (multiplicity 1)  4 Cr 2.62, 8 Mn 2.64

---

No. 5
An optimized crystal structure of Mn2CrHW, computed with PBE.

distance to the lowest polymorph of the same formula	0.65	kcal/mol of atoms

Unit cell a=3.6273 b=3.6273 c=4.0707 alpha=90.00 beta=90.00 gamma=90.00
With the nearest neighbours (Å) after each atom.
Space group P4/mmm (No. 123)
One atom of each set of equivalent atoms:
Mn (0.0000, 0.5000, 0.0000) (multiplicity 2)  2 H 1.81
Cr (0.0000, 0.0000, 0.5000) (multiplicity 1)  4 W 2.56, 8 Mn 2.73
H (0.5000, 0.5000, 0.0000) (multiplicity 1)  4 Mn 1.81
W (0.5000, 0.5000, 0.5000) (multiplicity 1)  2 H 2.04

---

No. 6
An optimized crystal structure of ZrMnCrH2, computed with PBE.

Unit cell a=3.4945 b=3.4945 c=5.0986 alpha=90.00 beta=90.00 gamma=90.00
With the nearest neighbours (Å) after each atom.
Space group P4/mmm (No. 123)
One atom of each set of equivalent atoms:
Zr (0.0000, 0.0000, 0.0000) (multiplicity 1)  4 H 1.75
Mn (0.0000, 0.0000, 0.5000) (multiplicity 1)  4 Cr 2.47, 2 Zr 2.55
Cr (0.5000, 0.5000, 0.5000) (multiplicity 1)  4 Mn 2.47
H (0.0000, 0.5000, 0.0000) (multiplicity 2)  2 Zr 1.75

---

No. 7
An optimized crystal structure of CrMo2H2, computed with PBE.

distance to the lowest polymorph of the same formula	3.91	kcal/mol of atoms

Unit cell a=5.7840 b=5.7840 c=2.9232 alpha=90.00 beta=90.00 gamma=90.00
With the nearest neighbours (Å) after each atom.
Space group P4/mbm (No. 127)
One atom of each set of equivalent atoms:
Cr (0.0000, 0.0000, 0.0000) (multiplicity 2)  4 H 2.13
Mo (0.1599, 0.3401, 0.5000) (multiplicity 4)  2 H 1.97
H (0.1778, 0.6778, 0.0000) (multiplicity 4)  2 Mo 1.97, 2 Cr 2.13

---

No. 8
An optimized crystal structure of Cr2MoH, computed with PBE.

distance to the lowest polymorph of the same formula	11.40	kcal/mol of atoms

Unit cell a=5.8420 b=5.8420 c=5.8420 alpha=90.00 beta=90.00 gamma=90.00
With the nearest neighbours (Å) after each atom.
Space group Fm-3m (No. 225)
One atom of each set of equivalent atoms:
Cr (0.2500, 0.2500, 0.2500) (multiplicity 8)  4 H 2.53, 4 Mo 2.53
Mo (0.0000, 0.0000, 0.0000) (multiplicity 4)  8 Cr 2.53
H (0.0000, 0.0000, 0.5000) (multiplicity 4)  8 Cr 2.53

---

No. 9
An optimized crystal structure of CrMo3H, computed with PBE.

distance to the lowest polymorph of the same formula	37.79	kcal/mol of atoms

Unit cell a=4.4700 b=4.4700 c=4.4700 alpha=90.00 beta=90.00 gamma=90.00
With the nearest neighbours (Å) after each atom.
Space group Pm-3m (No. 221)
One atom of each set of equivalent atoms:
Cr (0.0000, 0.0000, 0.0000) (multiplicity 1)  6 Mo 2.24
Mo (0.0000, 0.0000, 0.5000) (multiplicity 3)  2 Cr 2.24
H (0.5000, 0.5000, 0.5000) (multiplicity 1)  12 Mo 3.16

---

No. 10
An optimized crystal structure of Cr2MoH6, computed with PBE.

Unit cell a=2.9951 b=4.2448 c=8.9290 alpha=90.00 beta=90.00 gamma=90.00
With the nearest neighbours (Å) after each atom.
Space group Immm (No. 71)
One atom of each set of equivalent atoms:
Cr (0.0000, 0.0000, 0.1659) (multiplicity 4)  8 H 1.77-1.81
Mo (0.0000, 0.0000, 0.5000) (multiplicity 2)  8 H 1.89-1.91
H (0.0000, 0.2301, 0.0000) (multiplicity 4)  2 Cr 1.77, 2 Mo 1.89, 1 H 1.95
H (0.0000, 0.2609, 0.3262) (multiplicity 8)  3 Cr 1.81, 1 Mo 1.91, 2 H 2.03

---

No. 11
An optimized crystal structure of CrMoH3, computed with PBE.

distance to the lowest polymorph of the same formula	0.22	kcal/mol of atoms

Unit cell a=3.4949 b=3.4949 c=3.4949 alpha=90.00 beta=90.00 gamma=90.00
With the nearest neighbours (Å) after each atom.
Space group Pm-3m (No. 221)
One atom of each set of equivalent atoms:
Cr (0.0000, 0.0000, 0.0000) (multiplicity 1)  12 H 2.47
Mo (0.5000, 0.5000, 0.5000) (multiplicity 1)  6 H 1.75
H (0.0000, 0.5000, 0.5000) (multiplicity 3)  2 Mo 1.75

---

No. 12
An optimized crystal structure of CrMoH3, computed with PBE.

distance to the lowest polymorph of the same formula	0.00	kcal/mol of atoms

Unit cell a=3.3062 b=3.3062 c=3.3062 alpha=90.00 beta=90.00 gamma=90.00
With the nearest neighbours (Å) after each atom.
Space group Pm-3m (No. 221)
One atom of each set of equivalent atoms:
Cr (0.0000, 0.0000, 0.0000) (multiplicity 1)  6 H 1.65
Mo (0.5000, 0.5000, 0.5000) (multiplicity 1)  12 H 2.34
H (0.0000, 0.0000, 0.5000) (multiplicity 3)  2 Cr 1.65

---

No. 13
An optimized crystal structure of CrMoH, computed with PBE.

Unit cell a=3.0143 b=4.5018 c=4.6861 alpha=101.36 beta=91.34 gamma=90.91
With the nearest neighbours (Å) after each atom.
Space group P-1 (No. 2)
One atom of each set of equivalent atoms:
Cr (0.0038, 0.2834, 0.2133) (multiplicity 2)  2 H 1.76-1.77
Mo (0.4826, 0.1949, 0.7770) (multiplicity 2)  2 H 1.89-1.91
H (0.0179, 0.6640, 0.4049) (multiplicity 2)  2 Cr 1.76-1.77, 1 H 1.87, 2 Mo 1.89-1.91

---

No. 14
An optimized crystal structure of CrMo2H2, computed with PBE.

distance to the lowest polymorph of the same formula	0.00	kcal/mol of atoms

Unit cell a=2.9699 b=2.9699 c=11.1973 alpha=90.00 beta=90.00 gamma=90.00
With the nearest neighbours (Å) after each atom.
Space group I4/mmm (No. 139)
One atom of each set of equivalent atoms:
Cr (0.0000, 0.0000, 0.0000) (multiplicity 2)  8 Mo 2.61
Mo (0.0000, 0.0000, 0.3623) (multiplicity 4)  4 H 1.95
H (0.0000, 0.5000, 0.2500) (multiplicity 4)  4 Mo 1.95, 4 H 2.10

---

No. 15
An optimized crystal structure of Cr2MoH, computed with PBE.

distance to the lowest polymorph of the same formula	18.99	kcal/mol of atoms

Unit cell a=3.8292 b=3.8292 c=15.3213 alpha=90.00 beta=90.00 gamma=120.00
With the nearest neighbours (Å) after each atom.
Space group R-3m (No. 166, hexagonal axes)
One atom of each set of equivalent atoms:
Cr (0.0000, 0.0000, 0.1082) (multiplicity 6)  1 H 1.66
Mo (0.0000, 0.0000, 0.5000) (multiplicity 3)  6 Cr 2.39
H (0.0000, 0.0000, 0.0000) (multiplicity 3)  2 Cr 1.66

---

No. 16
An optimized crystal structure of CrMo3H, computed with PBE.

distance to the lowest polymorph of the same formula	0.00	kcal/mol of atoms

Unit cell a=3.9725 b=3.9725 c=3.9725 alpha=90.00 beta=90.00 gamma=90.00
With the nearest neighbours (Å) after each atom.
Space group Pm-3m (No. 221)
One atom of each set of equivalent atoms:
Cr (0.0000, 0.0000, 0.0000) (multiplicity 1)  12 Mo 2.81
Mo (0.0000, 0.5000, 0.5000) (multiplicity 3)  2 H 1.99
H (0.5000, 0.5000, 0.5000) (multiplicity 1)  6 Mo 1.99

---

No. 17
An optimized crystal structure of Cr5Mo3H12, computed with PBE.

Unit cell a=10.6177 b=10.6177 c=10.6177 alpha=90.00 beta=90.00 gamma=90.00
With the nearest neighbours (Å) after each atom.
Space group Ia-3d (No. 230)
One atom of each set of equivalent atoms:
Cr (0.0000, 0.0000, 0.0000) (multiplicity 16)  6 H 1.75
Cr (0.0000, 0.2500, 0.3750) (multiplicity 24)  4 H 1.77
Mo (0.0000, 0.2500, 0.1250) (multiplicity 24)  8 H 1.93-1.95
H (0.0117, 0.0700, 0.6490) (multiplicity 96)  2 Cr 1.75-1.77, 2 Mo 1.93-1.95

---

No. 18
An optimized crystal structure of CrMo2H6, computed with PBE.

Unit cell a=3.0705 b=4.3263 c=9.1841 alpha=90.00 beta=90.00 gamma=90.00
With the nearest neighbours (Å) after each atom.
Space group Immm (No. 71)
One atom of each set of equivalent atoms:
Cr (0.0000, 0.0000, 0.0000) (multiplicity 2)  8 H 1.81-1.84
Mo (0.0000, 0.0000, 0.3327) (multiplicity 4)  8 H 1.90-1.92
H (0.0000, 0.2414, 0.1603) (multiplicity 8)  1 Cr 1.81, 3 Mo 1.90
H (0.0000, 0.2670, 0.5000) (multiplicity 4)  2 Cr 1.84, 2 Mo 1.92, 1 H 2.02

---

No. 19
An optimized crystal structure of Cr3MoH4, computed with PBE.

Unit cell a=3.8886 b=3.8886 c=3.8886 alpha=90.00 beta=90.00 gamma=90.00
With the nearest neighbours (Å) after each atom.
Space group Pm-3m (No. 221)
One atom of each set of equivalent atoms:
Cr (0.0000, 0.0000, 0.5000) (multiplicity 3)  6 H 1.94
Mo (0.5000, 0.5000, 0.5000) (multiplicity 1)  6 H 1.94
H (0.0000, 0.0000, 0.0000) (multiplicity 1)  6 Cr 1.94
H (0.0000, 0.5000, 0.5000) (multiplicity 3)  4 Cr 1.94, 2 Mo 1.94

---

No. 20
An optimized crystal structure of Cr2MoH, computed with PBE.

distance to the lowest polymorph of the same formula	0.00	kcal/mol of atoms

Unit cell a=7.0645 b=7.0645 c=7.0645 alpha=90.00 beta=90.00 gamma=90.00
With the nearest neighbours (Å) after each atom.
Space group Fd-3m (No. 227, origin choice 2)
One atom of each set of equivalent atoms:
Cr (0.0000, 0.0000, 0.0000) (multiplicity 16)  2 H 1.53
Mo (0.1250, 0.1250, 0.6250) (multiplicity 8)  12 Cr 2.93, 4 H 3.06, 4 Mo 3.06
H (0.1250, 0.1250, 0.1250) (multiplicity 8)  4 Cr 1.53

---

N(E_F), respectively: 6.38; 3.69; 5.02; 6.50; 3.29; 4.49; 6.89; 9.55; 5.42; 6.21; 0.85; 2.58; 4.57; 8.73; 9.08; 5.95; 82.69; 8.73; 5.53; 46.94 states/eV per cell.
DFT total energy, respectively: -5.094; -8.101; -8.011; -8.720; -8.692; -6.017; -7.308; -7.484; -7.143; -5.537; -5.778; -5.787; -7.755; -7.478; -7.155; -8.782; -5.898; -5.665; -6.599; -7.978 eV/atom.